Entry 1:
! PBE Pr3Ga2Rh3, optimized geometry; values from VASP
&SYSTEM
  ibrav = 0, nat = 16, ntyp = 3
/
ATOMIC_SPECIES
Pr 140.91 Pr.upf
Ga 69.72 Ga.upf
Rh 102.91 Rh.upf
CELL_PARAMETERS angstrom
4.121 0.000 0.000
-2.060 5.968 0.000
0.000 0.000 14.298
ATOMIC_POSITIONS crystal
Pr 0.923 0.845 0.389
Pr 0.077 0.155 0.889
Pr 0.923 0.845 0.111
Pr 0.077 0.155 0.611
Pr 0.652 0.304 0.250
Pr 0.348 0.696 0.750
Ga 0.777 0.554 0.918
Ga 0.223 0.446 0.418
Ga 0.777 0.554 0.582
Ga 0.223 0.446 0.082
Rh 0.606 0.212 0.457
Rh 0.394 0.788 0.957
Rh 0.606 0.212 0.043
Rh 0.394 0.788 0.543
Rh 0.325 0.651 0.250
Rh 0.675 0.349 0.750
! - ΔH_f (0 K) (eV/atom) = -0.738
! - energy relative to the lowest polymorph listed for this composition (eV per atom) = 0.005

Entry 2:
! PBE Pr2Ga6Rh9, optimized geometry; values from VASP
&SYSTEM
  ibrav = 0, nat = 17, ntyp = 3
/
ATOMIC_SPECIES
Pr 140.91 Pr.upf
Ga 69.72 Ga.upf
Rh 102.91 Rh.upf
CELL_PARAMETERS angstrom
-1.935 -1.786 -4.957
5.432 -0.610 1.277
-2.252 -10.385 4.622
ATOMIC_POSITIONS crystal
Pr 0.000 0.000 0.698
Pr 0.000 0.000 0.302
Ga 0.333 0.667 0.000
Ga 0.667 0.333 0.000
Ga 0.333 0.667 0.665
Ga 0.667 0.333 0.665
Ga 0.667 0.333 0.335
Ga 0.333 0.667 0.335
Rh 0.500 0.000 0.831
Rh 0.000 0.500 0.831
Rh 0.500 0.500 0.831
Rh 0.500 0.000 0.169
Rh 0.000 0.500 0.169
Rh 0.500 0.500 0.169
Rh 0.500 0.000 0.500
Rh 0.000 0.500 0.500
Rh 0.500 0.500 0.500
! - ΔH_f (0 K) (eV/atom) = -0.575

Entry 3:
! PBE Pr4GaRh2, optimized geometry; values from VASP
&SYSTEM
  ibrav = 0, nat = 14, ntyp = 3
/
ATOMIC_SPECIES
Pr 140.91 Pr.upf
Ga 69.72 Ga.upf
Rh 102.91 Rh.upf
CELL_PARAMETERS angstrom
8.041 -1.110 -0.170
-1.685 7.940 0.169
-3.055 -3.529 6.623
ATOMIC_POSITIONS crystal
Pr 0.922 0.235 0.312
Pr 0.329 0.515 0.188
Pr 0.923 0.610 0.688
Pr 0.765 0.078 0.688
Pr 0.390 0.077 0.312
Pr 0.327 0.140 0.812
Pr 0.485 0.672 0.812
Pr 0.860 0.673 0.188
Ga 0.250 0.750 0.500
Ga 0.000 0.000 0.000
Rh 0.625 0.375 0.750
Rh 0.625 0.875 0.250
Rh 0.625 0.375 0.250
Rh 0.125 0.375 0.750
! - ΔH_f (0 K) (eV/atom) = -0.418

Entry 4:
! PBE Pr3Ga4Rh4, optimized geometry; values from VASP
&SYSTEM
  ibrav = 0, nat = 11, ntyp = 3
/
ATOMIC_SPECIES
Pr 140.91 Pr.upf
Ga 69.72 Ga.upf
Rh 102.91 Rh.upf
CELL_PARAMETERS angstrom
0.123 -4.295 -0.878
4.082 0.213 -0.479
3.660 -4.509 11.561
ATOMIC_POSITIONS crystal
Pr 0.649 0.150 0.702
Pr 0.351 0.850 0.298
Pr 0.000 0.000 0.000
Ga 0.552 0.551 0.898
Ga 0.448 0.449 0.102
Ga 0.802 0.302 0.396
Ga 0.198 0.698 0.604
Rh 0.099 0.599 0.804
Rh 0.252 0.252 0.496
Rh 0.748 0.748 0.504
Rh 0.901 0.401 0.196
! - ΔH_f (0 K) (eV/atom) = -0.754

Entry 5:
! PBE PrGaRh2, optimized geometry; values from VASP
&SYSTEM
  ibrav = 0, nat = 4, ntyp = 3
/
ATOMIC_SPECIES
Pr 140.91 Pr.upf
Rh 102.91 Rh.upf
Ga 69.72 Ga.upf
CELL_PARAMETERS angstrom
-3.299 -0.426 -1.544
-1.721 -1.049 3.967
-0.903 4.293 0.744
ATOMIC_POSITIONS crystal
Pr 0.500 0.500 0.500
Rh 0.000 0.000 0.500
Rh 0.000 0.500 0.000
Ga 0.500 0.000 0.000
! - ΔH_f (0 K) (eV/atom) = -0.585

Entry 6:
! PBE Pr2Ga12Rh, optimized geometry; values from VASP
&SYSTEM
  ibrav = 0, nat = 30, ntyp = 3
/
ATOMIC_SPECIES
Pr 140.91 Pr.upf
Ga 69.72 Ga.upf
Rh 102.91 Rh.upf
CELL_PARAMETERS angstrom
-0.869 5.282 -2.976
-4.590 1.391 3.808
10.143 7.096 9.633
ATOMIC_POSITIONS crystal
Pr 0.500 0.000 0.242
Pr 0.000 0.500 0.242
Pr 0.000 0.500 0.758
Pr 0.500 0.000 0.758
Ga 0.500 0.500 0.812
Ga 0.000 0.000 0.812
Ga 0.750 0.750 0.913
Ga 0.250 0.750 0.913
Ga 0.000 0.000 0.346
Ga 0.250 0.750 0.087
Ga 0.831 0.331 0.568
Ga 0.500 0.500 0.346
Ga 0.250 0.250 0.913
Ga 0.750 0.750 0.087
Ga 0.331 0.169 0.568
Ga 0.669 0.169 0.432
Ga 0.000 0.000 0.654
Ga 0.169 0.331 0.432
Ga 0.250 0.250 0.087
Ga 0.831 0.669 0.432
Ga 0.669 0.831 0.568
Ga 0.000 0.000 0.188
Ga 0.169 0.669 0.568
Ga 0.500 0.500 0.654
Ga 0.750 0.250 0.913
Ga 0.500 0.500 0.188
Ga 0.331 0.831 0.432
Ga 0.750 0.250 0.087
Rh 0.500 0.000 0.000
Rh 0.000 0.500 0.000
! - ΔH_f (0 K) (eV/atom) = -0.454